The following is a PBE-GGA calculation of a relaxed CoSiHIr2 crystal, from the Alexandria database.

Unit cell a=3.8826 b=3.8826 c=3.5913 alpha=90.00 beta=90.00 gamma=90.00
Sites, in units of the cell vectors:
Co  0.0000  0.0000  0.0000
Si  0.5000  0.5000  0.0000
H  0.0000  0.0000  0.5000
Ir  0.0000  0.5000  0.5000
Ir  0.5000  0.0000  0.5000

Output
- crystal system = tetragonal
- uncorrected energy (eV/f.u.) = -34.291
- space-group type = P4/mmm, No. 123

***

The following is a PBE-GGA calculation of a relaxed Nd2GaAu crystal, from the Alexandria database.

Unit cell a=6.1107 b=4.5661 c=8.1678 alpha=90.00 beta=110.60 gamma=90.00
Sites, in units of the cell vectors:
Nd  0.2146  0.2500  0.4336
Nd  0.2219  0.2500  0.9192
Nd  0.7781  0.7500  0.0808
Nd  0.7854  0.7500  0.5664
Ga  0.3254  0.7500  0.2060
Ga  0.6746  0.2500  0.7940
Au  0.3571  0.7500  0.7090
Au  0.6429  0.2500  0.2910

Output
- crystal system = monoclinic
- energy of formation from the pure elements (eV per formula unit) = -2.6
- uncorrected energy (eV/f.u.) = -18.435
- space-group type = P2_1/m, No. 11